[1]
Cu5H2Pt: optimized geometry, GGA-PBE.

Values from the calculation:
- Calculated total energy: -4.100 eV/atom
- Symmetry: P-1
- Total magnetization: 0.00 μB/f.u.

Lattice parameters (Å, degrees): 2.731 5.124 6.736 68.10 89.66 89.39
Fractional positions:
Cu1 0.000 0.000 0.000
Cu2 0.498 0.606 0.297
Cu3 0.498 0.901 0.703
Cu4 0.502 0.099 0.297
Cu5 0.502 0.394 0.703
H1 0.497 0.242 0.512
H2 0.503 0.758 0.488
Pt1 0.000 0.500 0.000


[2]
Cu2H2Pt: optimized geometry, GGA-PBE.

Values from the calculation:
- Symmetry: I4/mmm
- E above lowest polymorph: 178.1 meV/atom
- Total magnetization: 0.00 μB/f.u.

Lattice parameters (Å, degrees): 6.135 6.135 6.135 153.30 153.30 38.12
Fractional positions:
Cu1 0.157 0.157 0.000
Cu2 0.843 0.843 0.000
H1 0.250 0.750 0.500
H2 0.750 0.250 0.500
Pt1 0.500 0.500 0.000


[3]
Cu2HPt2: optimized geometry, GGA-PBE.

Values from the calculation:
- Calculated total energy: -4.704 eV/atom
- Symmetry: P4/mbm
- Total magnetization: 0.00 μB/f.u.

Lattice parameters (Å, degrees): 5.337 5.337 4.430 90.00 90.00 90.00
Fractional positions:
Cu1 0.159 0.341 0.000
Cu2 0.341 0.841 0.000
Cu3 0.659 0.159 0.000
Cu4 0.841 0.659 0.000
H1 0.000 0.000 0.500
H2 0.500 0.500 0.500
Pt1 0.177 0.677 0.500
Pt2 0.323 0.177 0.500
Pt3 0.677 0.823 0.500
Pt4 0.823 0.323 0.500


[4]
CuH3Pt: optimized geometry, GGA-PBE.

Values from the calculation:
- Symmetry: Imma
- E above lowest polymorph: 0.0 meV/atom
- Total magnetization: 0.00 μB/f.u.

Lattice parameters (Å, degrees): 5.224 5.224 5.224 118.79 88.54 122.95
Fractional positions:
Cu1 0.500 0.000 0.000
Cu2 0.500 0.500 0.500
H1 0.229 0.479 0.750
H2 0.255 0.000 0.755
H3 0.255 0.500 0.255
H4 0.745 0.000 0.245
H5 0.745 0.500 0.745
H6 0.771 0.521 0.250
Pt1 0.000 0.500 0.500
Pt2 0.500 0.500 0.000